VASP calculation (PBE) on a relaxed structure of Sm7HoEr2.

Cell lengths 9.5706, 9.5706, 7.0663 Å; angles 111.46, 111.46, 33.48 degrees
Positions (direct):
1 Sm 0.0000 0.0000 0.0000
2 Sm 0.1987 0.1987 0.6986
3 Sm 0.3912 0.3912 0.1413
4 Sm 0.3913 0.3913 0.6407
5 Sm 0.6087 0.6087 0.3593
6 Sm 0.6088 0.6088 0.8587
7 Sm 0.8013 0.8013 0.3014
8 Ho 0.0000 0.0000 0.5000
9 Er 0.1996 0.1996 0.1995
10 Er 0.8004 0.8004 0.8005

Output
Crystal system: monoclinic
Polymorph energy (0 for the lowest one) (meV/atom): 0
E_form (eV/atom): 0.052
N(E_F) (states/eV per atom): 1.68
Energy (eV per atom): -4.621


VASP calculation (PBE) on a relaxed structure of Sm2Ho2Er7.

Cell lengths 7.9868, 7.9868, 6.0024 Å; angles 106.03, 106.03, 92.07 degrees
Positions (direct):
1 Sm 0.2132 0.7868 0.0000
2 Sm 0.7868 0.2132 0.0000
3 Ho 0.4067 0.4067 0.6927
4 Ho 0.5933 0.5933 0.3073
5 Er 0.0000 0.0000 0.5000
6 Er 0.0638 0.5901 0.3255
7 Er 0.2339 0.2339 0.0821
8 Er 0.4099 0.9362 0.6745
9 Er 0.5901 0.0638 0.3255
10 Er 0.7661 0.7661 0.9179
11 Er 0.9362 0.4099 0.6745

Output
Crystal system: monoclinic
Polymorph energy (0 for the lowest one) (meV/atom): 4
E_form (eV/atom): 0.162
N(E_F) (states/eV per atom): 1.55
Energy (eV per atom): -4.432


VASP calculation (PBE) on a relaxed structure of Sm2Ho5Er3.

Cell lengths 9.8037, 9.8037, 9.8037 Å; angles 123.26, 93.39, 113.11 degrees
Positions (direct):
1 Sm 0.1264 0.1039 0.2303
2 Sm 0.3736 0.6039 0.9775
3 Sm 0.6264 0.3961 0.0225
4 Sm 0.8736 0.8961 0.7697
5 Ho 0.9997 0.2500 0.7497
6 Ho 0.0003 0.7500 0.2503
7 Ho 0.1243 0.4132 0.5376
8 Ho 0.2500 0.7500 0.5000
9 Ho 0.3757 0.9132 0.2889
10 Ho 0.5003 0.2500 0.2503
11 Ho 0.4997 0.7500 0.7497
12 Ho 0.6243 0.0868 0.7111
13 Ho 0.7500 0.2500 0.5000
14 Ho 0.8757 0.5868 0.4624
15 Er 0.1244 0.7536 0.8780
16 Er 0.2500 0.2500 0.0000
17 Er 0.3756 0.2536 0.6292
18 Er 0.6244 0.7464 0.3708
19 Er 0.7500 0.7500 0.0000
20 Er 0.8756 0.2464 0.1220

Output
Crystal system: orthorhombic
Polymorph energy (0 for the lowest one) (meV/atom): 219
E_form (eV/atom): 0.419
N(E_F) (states/eV per atom): 1.59
Energy (eV per atom): -4.182


VASP calculation (PBE) on a relaxed structure of Sm5Ho4Er3.

Cell lengths 8.6203, 8.6203, 9.2704 Å; angles 115.15, 115.15, 39.83 degrees
Positions (direct):
1 Sm 0.0000 0.0000 0.0000
2 Sm 0.3258 0.3258 0.6146
3 Sm 0.4237 0.4237 0.2983
4 Sm 0.5763 0.5763 0.7017
5 Sm 0.6742 0.6742 0.3854
6 Ho 0.0804 0.0804 0.4387
7 Ho 0.2155 0.2155 0.8782
8 Ho 0.7845 0.7845 0.1218
9 Ho 0.9196 0.9196 0.5613
10 Er 0.2085 0.2085 0.2283
11 Er 0.5000 0.5000 0.0000
12 Er 0.7915 0.7915 0.7717

Output
Crystal system: monoclinic
E_form (eV/atom): 0.232
N(E_F) (states/eV per atom): 1.64
Energy (eV per atom): -4.400


VASP calculation (PBE) on a relaxed structure of SmHo2Er7.

Cell lengths 9.3707, 9.3707, 5.3811 Å; angles 106.67, 106.67, 123.99 degrees
Positions (direct):
1 Sm 0.0000 0.0000 0.0000
2 Ho 0.3008 0.6992 0.5000
3 Ho 0.6992 0.3008 0.5000
4 Er 0.1417 0.3614 0.7517
5 Er 0.2003 0.7997 0.0000
6 Er 0.3614 0.1417 0.7517
7 Er 0.5000 0.5000 0.5000
8 Er 0.6386 0.8583 0.2483
9 Er 0.7997 0.2003 0.0000
10 Er 0.8583 0.6386 0.2483

Output
Crystal system: monoclinic
Polymorph energy (0 for the lowest one) (meV/atom): 0
E_form (eV/atom): 0.049
N(E_F) (states/eV per atom): 1.73
Energy (eV per atom): -4.533


VASP calculation (PBE) on a relaxed structure of Sm2Ho6Er.

Cell lengths 10.6210, 10.6210, 5.0208 Å; angles 90.00, 90.00, 90.00 degrees
Positions (direct):
1 Sm 0.1663 0.1663 0.0000
2 Sm 0.3337 0.6663 0.5000
3 Sm 0.6663 0.3337 0.5000
4 Sm 0.8337 0.8337 0.0000
5 Ho 0.0004 0.3337 0.5000
6 Ho 0.9996 0.6663 0.5000
7 Ho 0.1663 0.5004 0.0000
8 Ho 0.1668 0.8332 0.0000
9 Ho 0.3332 0.3332 0.5000
10 Ho 0.3337 0.0004 0.5000
11 Ho 0.5004 0.1663 0.0000
12 Ho 0.4996 0.8337 0.0000
13 Ho 0.6663 0.9996 0.5000
14 Ho 0.6668 0.6668 0.5000
15 Ho 0.8332 0.1668 0.0000
16 Ho 0.8337 0.4996 0.0000
17 Er 0.0000 0.0000 0.5000
18 Er 0.5000 0.5000 0.0000

Output
Crystal system: tetragonal
Polymorph energy (0 for the lowest one) (meV/atom): 0
E_form (eV/atom): 0.020
N(E_F) (states/eV per atom): 1.25
Energy (eV per atom): -4.588


VASP calculation (PBE) on a relaxed structure of SmHo4Er2.

Cell lengths 8.4613, 8.4613, 8.6816 Å; angles 118.69, 118.69, 23.92 degrees
Positions (direct):
1 Sm 0.0000 0.0000 0.0000
2 Ho 0.2951 0.2951 0.7060
3 Ho 0.3589 0.3589 0.1675
4 Ho 0.6411 0.6411 0.8325
5 Ho 0.7049 0.7049 0.2940
6 Er 0.0705 0.0705 0.4302
7 Er 0.9295 0.9295 0.5698

Output
Crystal system: monoclinic
Polymorph energy (0 for the lowest one) (meV/atom): 0
E_form (eV/atom): 0.035
N(E_F) (states/eV per atom): 1.51
Energy (eV per atom): -4.558


VASP calculation (PBE) on a relaxed structure of Sm2HoEr8.

Cell lengths 9.3016, 9.3016, 9.3016 Å; angles 145.78, 128.83, 63.01 degrees
Positions (direct):
1 Sm 0.2012 0.2012 0.0000
2 Sm 0.7988 0.7988 0.0000
3 Ho 0.5000 0.5000 0.0000
4 Er 0.0710 0.3622 0.7088
5 Er 0.2081 0.0000 0.2081
6 Er 0.3400 0.8400 0.5000
7 Er 0.3465 0.6378 0.7088
8 Er 0.6535 0.3622 0.2912
9 Er 0.6600 0.1600 0.5000
10 Er 0.7919 0.0000 0.7919
11 Er 0.9290 0.6378 0.2912

Output
Crystal system: orthorhombic
Polymorph energy (0 for the lowest one) (meV/atom): 0
E_form (eV/atom): 0.118
N(E_F) (states/eV per atom): 1.44
Energy (eV per atom): -4.475


VASP calculation (PBE) on a relaxed structure of SmHo12Er5.

Cell lengths 6.1198, 6.1198, 17.2555 Å; angles 93.39, 93.39, 119.99 degrees
Positions (direct):
1 Sm 0.0000 0.0000 0.0000
2 Ho 0.0562 0.3904 0.1670
3 Ho 0.1114 0.1114 0.3329
4 Ho 0.2218 0.5552 0.6670
5 Ho 0.2782 0.2782 0.8330
6 Ho 0.3904 0.0562 0.1670
7 Ho 0.4448 0.7782 0.3330
8 Ho 0.5552 0.2218 0.6670
9 Ho 0.6096 0.9438 0.8330
10 Ho 0.7218 0.7218 0.1670
11 Ho 0.7782 0.4448 0.3330
12 Ho 0.8886 0.8886 0.6671
13 Ho 0.9438 0.6096 0.8330
14 Er 0.1665 0.8335 0.5000
15 Er 0.3333 0.6667 0.0000
16 Er 0.5000 0.5000 0.5000
17 Er 0.6667 0.3333 0.0000
18 Er 0.8335 0.1665 0.5000

Output
Crystal system: monoclinic
E_form (eV/atom): 0.010
N(E_F) (states/eV per atom): 1.26
Energy (eV per atom): -4.572


VASP calculation (PBE) on a relaxed structure of Sm3Ho8Er.

Cell lengths 7.0969, 7.0969, 7.9186 Å; angles 102.98, 102.98, 89.98 degrees
Positions (direct):
1 Sm 0.0000 0.0000 0.0000
2 Sm 0.1668 0.6663 0.6660
3 Sm 0.6663 0.1668 0.6660
4 Ho 0.0004 0.5002 0.0011
5 Ho 0.1671 0.1671 0.6658
6 Ho 0.3338 0.3338 0.3325
7 Ho 0.3336 0.8322 0.3315
8 Ho 0.5002 0.0004 0.0011
9 Ho 0.6658 0.6658 0.6654
10 Ho 0.8322 0.3336 0.3315
11 Ho 0.8326 0.8326 0.3324
12 Er 0.5002 0.5002 0.0003

Output
Crystal system: monoclinic
E_form (eV/atom): 0.018
N(E_F) (states/eV per atom): 1.31
Energy (eV per atom): -4.594


VASP calculation (PBE) on a relaxed structure of SmHo2Er.

Cell lengths 11.7274, 11.7274, 11.7274 Å; angles 17.39, 17.39, 17.39 degrees
Positions (direct):
1 Sm 0.0000 0.0000 0.0000
2 Ho 0.2489 0.2489 0.2489
3 Ho 0.7511 0.7511 0.7511
4 Er 0.5000 0.5000 0.5000

Output
Crystal system: trigonal
Polymorph energy (0 for the lowest one) (meV/atom): 10
E_form (eV/atom): 0.021
N(E_F) (states/eV per atom): 1.41
Energy (eV per atom): -4.589


VASP calculation (PBE) on a relaxed structure of Sm2Ho3Er8.

Cell lengths 10.9275, 10.9275, 5.5115 Å; angles 90.00, 90.00, 139.63 degrees
Positions (direct):
1 Sm 0.2410 0.7590 0.0000
2 Sm 0.7590 0.2410 0.0000
3 Ho 0.0000 0.0000 0.0000
4 Ho 0.2853 0.2853 0.5000
5 Ho 0.7147 0.7147 0.5000
6 Er 0.1300 0.8700 0.5000
7 Er 0.1789 0.3940 0.0000
8 Er 0.3372 0.6628 0.5000
9 Er 0.3940 0.1789 0.0000
10 Er 0.6060 0.8211 0.0000
11 Er 0.6628 0.3372 0.5000
12 Er 0.8211 0.6060 0.0000
13 Er 0.8700 0.1300 0.5000

Output
Crystal system: orthorhombic
E_form (eV/atom): 0.246
N(E_F) (states/eV per atom): 1.74
Energy (eV per atom): -4.344


VASP calculation (PBE) on a relaxed structure of Sm4HoEr.

Cell lengths 6.6125, 6.6125, 6.6125 Å; angles 60.00, 60.00, 60.00 degrees
Positions (direct):
1 Sm 0.1251 0.1251 0.1251
2 Sm 0.1251 0.1251 0.6248
3 Sm 0.1251 0.6248 0.1251
4 Sm 0.6248 0.1251 0.1251
5 Ho 0.7500 0.7500 0.7500
6 Er 0.5000 0.5000 0.5000

Output
Crystal system: cubic
Polymorph energy (0 for the lowest one) (meV/atom): 246
E_form (eV/atom): 0.262
N(E_F) (states/eV per atom): 1.60
Energy (eV per atom): -4.407


VASP calculation (PBE) on a relaxed structure of Sm2Ho3Er6.

Cell lengths 6.0670, 6.0670, 11.5979 Å; angles 95.04, 95.04, 120.08 degrees
Positions (direct):
1 Sm 0.1665 0.8335 0.0000
2 Sm 0.8335 0.1665 0.0000
3 Ho 0.0000 0.0000 0.5000
4 Ho 0.3349 0.6651 0.5000
5 Ho 0.6651 0.3349 0.5000
6 Er 0.0826 0.4162 0.7478
7 Er 0.2502 0.2502 0.2522
8 Er 0.4162 0.0826 0.7478
9 Er 0.5838 0.9174 0.2522
10 Er 0.7498 0.7498 0.7478
11 Er 0.9174 0.5838 0.2522

Output
Crystal system: monoclinic
Polymorph energy (0 for the lowest one) (meV/atom): 0
E_form (eV/atom): 0.190
N(E_F) (states/eV per atom): 1.66
Energy (eV per atom): -4.406


VASP calculation (PBE) on a relaxed structure of SmHo2Er.

Cell lengths 5.0110, 5.0110, 5.0140 Å; angles 90.00, 90.00, 90.00 degrees
Positions (direct):
1 Sm 0.0000 0.0000 0.0000
2 Ho 0.0000 0.5000 0.5000
3 Ho 0.5000 0.0000 0.5000
4 Er 0.5000 0.5000 0.0000

Output
Crystal system: tetragonal
Polymorph energy (0 for the lowest one) (meV/atom): 11
E_form (eV/atom): 0.022
N(E_F) (states/eV per atom): 1.41
Energy (eV per atom): -4.587


VASP calculation (PBE) on a relaxed structure of Sm10Ho6Er.

Cell lengths 9.7414, 9.7414, 6.8528 Å; angles 90.00, 90.00, 120.00 degrees
Positions (direct):
1 Sm 0.0000 0.2739 0.3143
2 Sm 0.0000 0.7261 0.6857
3 Sm 0.2739 0.0000 0.3143
4 Sm 0.2739 0.2739 0.6857
5 Sm 0.3333 0.6667 0.0000
6 Sm 0.3333 0.6667 0.5000
7 Sm 0.6667 0.3333 0.0000
8 Sm 0.6667 0.3333 0.5000
9 Sm 0.7261 0.0000 0.6857
10 Sm 0.7261 0.7261 0.3143
11 Ho 0.0000 0.3727 0.8060
12 Ho 0.0000 0.6273 0.1940
13 Ho 0.3727 0.0000 0.8060
14 Ho 0.3727 0.3727 0.1940
15 Ho 0.6273 0.0000 0.1940
16 Ho 0.6273 0.6273 0.8060
17 Er 0.0000 0.0000 0.0000

Output
Crystal system: trigonal
E_form (eV/atom): 0.126
N(E_F) (states/eV per atom): 1.36
Energy (eV per atom): -4.534


VASP calculation (PBE) on a relaxed structure of Sm5Ho4Er.

Cell lengths 8.0502, 8.0502, 8.0502 Å; angles 97.88, 97.88, 136.55 degrees
Positions (direct):
1 Sm 0.0000 0.0000 0.0000
2 Sm 0.5444 0.5444 0.6217
3 Sm 0.5444 0.9227 0.0000
4 Sm 0.9227 0.5444 0.0000
5 Sm 0.9227 0.9227 0.3783
6 Ho 0.2423 0.5674 0.3252
7 Ho 0.2423 0.9171 0.6748
8 Ho 0.5674 0.2423 0.3252
9 Ho 0.9171 0.2423 0.6748
10 Er 0.4688 0.4688 0.0000

Output
Crystal system: tetragonal
Polymorph energy (0 for the lowest one) (meV/atom): 228
E_form (eV/atom): 0.268
N(E_F) (states/eV per atom): 1.37
Energy (eV per atom): -4.379


VASP calculation (PBE) on a relaxed structure of Sm3Ho2Er7.

Cell lengths 6.0618, 5.5909, 12.0867 Å; angles 90.00, 94.75, 90.00 degrees
Positions (direct):
1 Sm 0.0000 0.0000 0.0000
2 Sm 0.4690 0.5000 0.3242
3 Sm 0.5310 0.5000 0.6758
4 Ho 0.1377 0.0000 0.2879
5 Ho 0.8623 0.0000 0.7121
6 Er 0.0488 0.5000 0.8252
7 Er 0.2720 0.0000 0.5587
8 Er 0.4063 0.0000 0.8392
9 Er 0.5000 0.5000 0.0000
10 Er 0.5937 0.0000 0.1608
11 Er 0.7280 0.0000 0.4413
12 Er 0.9512 0.5000 0.1748

Output
Crystal system: monoclinic
Polymorph energy (0 for the lowest one) (meV/atom): 219
E_form (eV/atom): 0.309
N(E_F) (states/eV per atom): 1.56
Energy (eV per atom): -4.296


VASP calculation (PBE) on a relaxed structure of Sm2Ho5Er.

Cell lengths 7.0959, 14.1919, 5.0093 Å; angles 90.00, 90.00, 90.00 degrees
Positions (direct):
1 Sm 0.2504 0.1248 0.0000
2 Sm 0.2496 0.6248 0.0000
3 Sm 0.7504 0.3752 0.0000
4 Sm 0.7496 0.8752 0.0000
5 Ho 0.0000 0.0000 0.5000
6 Ho 0.0004 0.2500 0.5000
7 Ho 0.9996 0.7500 0.5000
8 Ho 0.2504 0.3749 0.0000
9 Ho 0.2496 0.8749 0.0000
10 Ho 0.5004 0.2500 0.5000
11 Ho 0.5000 0.5000 0.5000
12 Ho 0.4996 0.7500 0.5000
13 Ho 0.7504 0.1251 0.0000
14 Ho 0.7496 0.6251 0.0000
15 Er 0.0000 0.5000 0.5000
16 Er 0.5000 0.0000 0.5000

Output
Crystal system: orthorhombic
E_form (eV/atom): 0.018
N(E_F) (states/eV per atom): 1.26
Energy (eV per atom): -4.593


VASP calculation (PBE) on a relaxed structure of Sm5Ho2Er2.

Cell lengths 8.0052, 8.0052, 7.9955 Å; angles 107.52, 107.52, 36.83 degrees
Positions (direct):
1 Sm 0.0000 0.0000 0.0000
2 Sm 0.2226 0.2226 0.3351
3 Sm 0.3335 0.3335 0.9991
4 Sm 0.6665 0.6665 0.0009
5 Sm 0.7774 0.7774 0.6649
6 Ho 0.1096 0.1096 0.6653
7 Ho 0.8904 0.8904 0.3347
8 Er 0.4453 0.4453 0.6643
9 Er 0.5547 0.5547 0.3357

Output
Crystal system: monoclinic
Polymorph energy (0 for the lowest one) (meV/atom): 0
E_form (eV/atom): 0.018
N(E_F) (states/eV per atom): 1.33
Energy (eV per atom): -4.635